An optimized crystal structure of CrFeSi. Source: Alexandria via LeMat-Bulk, functional PBE.

```
CrFeSi
1.0
-5.0797 1.5606 -3.4495
0.4030 -2.1900 -1.5842
-2.0919 -4.9621 6.3275
Cr Si Fe
4 4 4
Direct
0.4487 0.0000 0.8455
0.5513 0.0000 0.1545
0.4487 0.5000 0.3455
0.5513 0.5000 0.6545
0.2101 0.0000 0.4791
0.7899 0.0000 0.5209
0.2101 0.5000 0.9791
0.7899 0.5000 0.0209
0.8760 0.0000 0.8229
0.1240 0.0000 0.1771
0.8760 0.5000 0.3229
0.1240 0.5000 0.6771
```

Calculated values
ΔE_f (raw) ... -251.2 meV per atom
Space group ... No. 12